[1]
Here is InBi2Pb2 at its PBEsol-relaxed geometry from Alexandria. Energies are from SCAN.

Unit cell a=8.7560 b=8.7560 c=4.0807 alpha=90.00 beta=90.00 gamma=90.00
Sites, in units of the cell vectors:
1 In 0.0000 0.0000 0.0000
2 In 0.5000 0.5000 0.0000
3 Bi 0.1446 0.3554 0.0000
4 Bi 0.3554 0.8554 0.0000
5 Bi 0.6446 0.1446 0.0000
6 Bi 0.8554 0.6446 0.0000
7 Pb 0.1497 0.6497 0.5000
8 Pb 0.3503 0.1497 0.5000
9 Pb 0.6497 0.8503 0.5000
10 Pb 0.8503 0.3503 0.5000

Output
* spin magnetization: 0.00 Bohr magnetons per cell
* SG: P4/mbm
* formation energy from the elements: 0.106 eV per atom



[2]
Here is AgPCS2 at its PBEsol-relaxed geometry from Alexandria. Energies are from SCAN.

Unit cell a=4.7205 b=4.7205 c=4.6786 alpha=90.00 beta=90.00 gamma=90.00
Sites, in units of the cell vectors:
1 Ag 0.0000 0.0000 0.0000
2 P 0.0000 0.0000 0.5000
3 C 0.5000 0.5000 0.5000
4 S 0.0000 0.5000 0.0000
5 S 0.5000 0.0000 0.0000

Output
* spin magnetization: 0.85 Bohr magnetons per cell
* SG: P4/mmm
* raw formation energy: 2.35 eV per atom



[3]
Here is LiCdSiIr2 at its PBEsol-relaxed geometry from Alexandria. Energies are from SCAN.

Unit cell a=4.3890 b=4.3890 c=4.4027 alpha=90.00 beta=90.00 gamma=90.00
Sites, in units of the cell vectors:
1 Li 0.0000 0.0000 0.0000
2 Cd 0.5000 0.5000 0.0000
3 Si 0.0000 0.0000 0.5000
4 Ir 0.0000 0.5000 0.5000
5 Ir 0.5000 0.0000 0.5000

Output
* spin magnetization: 0.00 Bohr magnetons per cell
* SG: P4/mmm
* raw formation energy: 0.13 eV per atom



[4]
Here is Be2TcAs at its PBEsol-relaxed geometry from Alexandria. Energies are from SCAN.

Unit cell a=3.0881 b=3.0881 c=4.8582 alpha=90.00 beta=90.00 gamma=90.00
Sites, in units of the cell vectors:
1 Be 0.0000 0.0000 0.0000
2 Be 0.5000 0.5000 0.2111
3 Tc 0.0000 0.0000 0.4781
4 As 0.5000 0.5000 0.7369

Output
* spin magnetization: 0.00 Bohr magnetons per cell
* SG: P4mm
* formation energy from the elements: -0.134 eV per atom



[5]
Here is BaAlH3 at its PBEsol-relaxed geometry from Alexandria. Energies are from SCAN.

Unit cell a=4.8352 b=4.8352 c=4.8352 alpha=90.00 beta=90.00 gamma=90.00
Sites, in units of the cell vectors:
1 Ba 0.0000 0.0000 0.0000
2 Al 0.5000 0.5000 0.5000
3 H 0.0000 0.0000 0.5000
4 H 0.0000 0.5000 0.0000
5 H 0.5000 0.0000 0.0000

Output
* spin magnetization: 0.00 Bohr magnetons per cell
* SG: Pm-3m
* total DFT energy (no corrections): -55.3 eV per cell



[6]
Here is LaSbPb at its PBEsol-relaxed geometry from Alexandria. Energies are from SCAN.

Unit cell a=5.2666 b=5.2666 c=5.2666 alpha=60.00 beta=60.00 gamma=60.00
Sites, in units of the cell vectors:
1 La 0.0000 0.0000 0.0000
2 Sb 0.7500 0.7500 0.7500
3 Pb 0.2500 0.2500 0.2500

Output
* spin magnetization: 0.00 Bohr magnetons per cell
* SG: F-43m
* ΔE to the lowest computed polymorph: 221.6 meV/atom
* raw formation energy: -0.43 eV per atom



[7]
Here is CsScSb2I at its PBEsol-relaxed geometry from Alexandria. Energies are from SCAN.

Unit cell a=5.8793 b=5.8793 c=6.3472 alpha=90.00 beta=90.00 gamma=90.00
Sites, in units of the cell vectors:
1 Cs 0.0000 0.0000 0.0000
2 Sc 0.5000 0.5000 0.5000
3 Sb 0.0000 0.5000 0.0000
4 Sb 0.5000 0.0000 0.0000
5 I 0.0000 0.0000 0.5000

Output
* spin magnetization: 0.25 Bohr magnetons per cell
* SG: P4/mmm
* raw formation energy: 1.13 eV per atom



[8]
Here is AlGe2PBr at its PBEsol-relaxed geometry from Alexandria. Energies are from SCAN.

Unit cell a=4.8021 b=4.8021 c=5.0154 alpha=90.00 beta=90.00 gamma=90.00
Sites, in units of the cell vectors:
1 Al 0.0000 0.0000 0.0000
2 Ge 0.0000 0.5000 0.5000
3 Ge 0.5000 0.0000 0.5000
4 P 0.5000 0.5000 0.5000
5 Br 0.5000 0.5000 0.0000

Output
* spin magnetization: 0.00 Bohr magnetons per cell
* SG: P4/mmm
* raw formation energy: 0.79 eV per atom